The following is a PBE calculation of a relaxed structure of TaSeBr2O, from Alexandria.

Output
Density of states at the Fermi level in states/eV/cell: 10.2
E above lowest polymorph in meV/atom: 136
Symmetry: No. 123

```
TaSeBr2O
1.0
5.148 0.000 0.000
0.000 5.148 0.000
0.000 0.000 4.934
O Se Br Ta
1 1 2 1
Direct
0.500 0.500 0.500
0.000 0.000 0.500
0.000 0.500 0.000
0.500 0.000 0.000
0.000 0.000 0.000
```

The following is a PBE calculation of a relaxed structure of TbSeBrO4, from Alexandria.

Output
VASP energy in eV/atom: -5.840
Symmetry: No. 12

```
TbSeBrO4
1.0
-5.875 -1.885 -1.084
-1.516 -4.700 3.855
-3.400 3.255 4.855
Tb Se Br O
2 2 2 8
Direct
0.230 0.230 0.869
0.770 0.770 0.131
0.636 0.636 0.733
0.364 0.364 0.267
0.019 0.019 0.244
0.981 0.981 0.756
0.285 0.285 0.510
0.715 0.715 0.490
0.133 0.488 0.139
0.528 0.528 0.233
0.512 0.867 0.861
0.488 0.133 0.139
0.472 0.472 0.767
0.867 0.512 0.861
```